CuSnOsC: relaxed, PBE-GGA.

Unit cell a=3.3665 b=4.6626 c=4.9027 alpha=64.98 beta=70.94 gamma=78.97
Closest atoms and distances in Å follow each position.
Positions (direct):
C (0.9331, 0.0152, 0.8587)  2 Os 1.93, 1 Cu 2.01
Os (0.4460, 0.7931, 0.9540)  2 C 1.93
Sn (0.7590, 0.6005, 0.4751)  2 C 2.66-2.75, 3 Os 2.69-2.81, 2 Cu 2.82-2.89
Cu (0.0174, 0.2992, 0.0465)  1 C 2.01

**E_form**: 0.631 eV per atom
**Calculated total energy**: -6.5075 eV per atom
**DOS at the Fermi energy**: 0.1723 states/eV per atom
**Total magnetization**: 0.0 μB/cell
**Symmetry**: No. 1

---

Li3SbAu: relaxed, PBE-GGA.

Unit cell a=4.7228 b=7.6400 c=6.8206 alpha=77.83 beta=110.28 gamma=128.03
Closest atoms and distances in Å follow each position.
Positions (direct):
Li (0.9285, 0.0432, 0.7703)  2 Au 2.78, 3 Sb 2.90-3.03, 6 Li 2.91-3.11
Li (0.1353, 0.0203, 0.2295)  2 Au 2.78, 3 Sb 2.90-3.03, 6 Li 2.91-3.11
Li (0.4098, 0.5260, 0.7696)  2 Au 2.78-2.79, 6 Li 2.91-3.11, 3 Sb 2.91-3.01
Li (0.9661, 0.2815, 0.3678)  2 Au 2.79-2.80, 4 Sb 2.91-3.01, 6 Li 2.95-2.97
Li (0.6527, 0.5372, 0.2304)  2 Au 2.78-2.79, 6 Li 2.91-3.11, 3 Sb 2.91-3.01
Li (0.0976, 0.7820, 0.6323)  2 Au 2.79-2.80, 4 Sb 2.91-3.01, 6 Li 2.95-2.97
Sb (0.4641, 0.7814, 0.3653)  2 Au 2.77-2.78, 10 Li 2.90-3.03
Sb (0.5992, 0.2819, 0.6348)  2 Au 2.77-2.78, 10 Li 2.90-3.03
Au (0.5320, 0.0316, 0.0000)  6 Li 2.78-2.79, 2 Sb 2.78, 2 Au 3.01
Au (0.0313, 0.5316, 0.0001)  2 Sb 2.77, 6 Li 2.78-2.80, 2 Au 3.01

**ΔE_f (raw)**: -2.41 eV/f.u.
**Calculated total energy**: -3.1096 eV per atom
**DOS at the Fermi energy**: 0.2693 states/eV per atom
**Total magnetization**: 0.0 μB/cell
**Symmetry**: No. 2

---

La3CdTc: relaxed, PBE-GGA.

Unit cell a=5.4844 b=5.4844 c=5.4844 alpha=90.00 beta=90.00 gamma=90.00
Closest atoms and distances in Å follow each position.
Positions (direct):
Cd (0.5000, 0.5000, 0.5000)  12 La 3.88
Tc (0.0000, 0.0000, 0.0000)  6 La 2.74
La (0.0000, 0.5000, 0.0000)  2 Tc 2.74
La (0.0000, 0.0000, 0.5000)  2 Tc 2.74
La (0.5000, 0.0000, 0.0000)  2 Tc 2.74

**E_form**: -0.074 eV per atom
**Calculated total energy**: -5.2868 eV per atom
**DOS at the Fermi energy**: 1.2055 states/eV per atom
**Total magnetization**: 0.0 μB/cell
**Symmetry**: No. 221